Density functional theory data (PBE-GGA) for a geometry-optimized TbDy5Al6 structure.

Geometry as CIF:
```
data_TbDy5Al6
_chemical_formula_sum 'Tb2 Dy10 Al12'
_symmetry_space_group_name_H-M 'C m m m'
_symmetry_Int_Tables_number 65
_symmetry_space_group_name_Hall '-C 2 2'
_cell_length_a 5.0865
_cell_length_b 15.2698
_cell_length_c 7.2154
_cell_angle_alpha 90.00
_cell_angle_beta 90.00
_cell_angle_gamma 90.00
loop_
_atom_site_label
_atom_site_fract_x
_atom_site_fract_y
_atom_site_fract_z
Tb1 0.0000 0.0000 0.0000
Dy1 0.0000 0.0000 0.5000
Dy2 0.0000 0.3331 0.0000
Dy3 0.0000 0.3337 0.5000
Al1 0.0000 0.1670 0.2508
Al2 0.0000 0.5000 0.2504
```

Properties
The calculation puts the density of states at the Fermi level at 0.36 states/eV per atom. The formation energy is -4.774 eV/f.u. The calculation puts the calculated volume at 23.35 Å³ per atom.

***

Density functional theory data (PBE-GGA) for a geometry-optimized Tb2DyAl structure.

Geometry as CIF:
```
data_Tb2DyAl
_chemical_formula_sum 'Tb4 Dy2 Al2'
_symmetry_space_group_name_H-M 'P m m n'
_symmetry_Int_Tables_number 59
_cell_length_a 5.3550
_cell_length_b 6.6758
_cell_length_c 6.0553
_cell_angle_alpha 90.00
_cell_angle_beta 90.00
_cell_angle_gamma 90.00
loop_
_symmetry_equiv_pos_as_xyz
'x,y,z'
'-x,-y,-z'
'-x+1/2,-y+1/2,z'
'x+1/2,y+1/2,-z'
'x+1/2,-y,-z'
'-x+1/2,y,z'
'-x,y+1/2,-z'
'x,-y+1/2,z'
loop_
_atom_site_label
_atom_site_fract_x
_atom_site_fract_y
_atom_site_fract_z
Tb1 0.2500 0.0054 0.1600
Dy1 0.2500 0.2500 0.6264
Al1 0.2500 0.7500 0.6652
```

Properties
The calculation puts the density of states at the Fermi level at 0.94 states/eV per atom. The energy above the most stable polymorph in this dataset comes out at 15 meV per atom. The formation energy is -0.684 eV/f.u. The calculation puts the calculated volume at 27.06 Å³ per atom.

***

Density functional theory data (PBE-GGA) for a geometry-optimized TbDy7Al5 structure.

Geometry as CIF:
```
data_TbDy7Al5
_chemical_formula_sum 'Tb2 Dy14 Al10'
_symmetry_space_group_name_H-M 'I m m 2'
_symmetry_Int_Tables_number 44
_cell_length_a 6.1140
_cell_length_b 10.2512
_cell_length_c 10.7066
_cell_angle_alpha 90.00
_cell_angle_beta 90.00
_cell_angle_gamma 90.00
loop_
_symmetry_equiv_pos_as_xyz
'x,y,z'
'-x,-y,z'
'-x,y,z'
'x,-y,z'
'x+1/2,y+1/2,z+1/2'
'-x+1/2,-y+1/2,z+1/2'
'-x+1/2,y+1/2,z+1/2'
'x+1/2,-y+1/2,z+1/2'
loop_
_atom_site_label
_atom_site_fract_x
_atom_site_fract_y
_atom_site_fract_z
Tb1 0.0000 0.0000 0.0000
Dy1 0.0000 0.0000 0.3443
Dy2 0.0000 0.0000 0.6746
Dy3 0.0000 0.3069 0.5071
Dy4 0.0000 0.3365 0.0227
Dy5 0.0000 0.5000 0.7413
Al1 0.0000 0.5000 0.2748
Al2 0.2472 0.2404 0.7691
```

Properties
The calculation puts the density of states at the Fermi level at 0.94 states/eV per atom. The formation energy is -2.899 eV/f.u. The calculation puts the calculated volume at 25.81 Å³ per atom.

***

Density functional theory data (PBE-GGA) for a geometry-optimized TbDyAl structure.

Geometry as CIF:
```
data_TbDyAl
_chemical_formula_sum 'Tb3 Dy3 Al3'
_symmetry_space_group_name_H-M 'R 3 m'
_symmetry_Int_Tables_number 160
_symmetry_space_group_name_Hall 'R 3 -2"'
_cell_length_a 3.4676
_cell_length_b 3.4676
_cell_length_c 23.7228
_cell_angle_alpha 90.00
_cell_angle_beta 90.00
_cell_angle_gamma 120.00
loop_
_atom_site_label
_atom_site_fract_x
_atom_site_fract_y
_atom_site_fract_z
Tb1 0.0000 0.0000 0.0000
Dy1 0.0000 0.0000 0.2076
Al1 0.0000 0.0000 0.7716
```

Properties
The calculation puts the density of states at the Fermi level at 1.27 states/eV per atom. The energy above the most stable polymorph in this dataset comes out at 264 meV per atom. The formation energy is -0.078 eV/f.u. The calculation puts the calculated volume at 27.46 Å³ per atom.

***

Density functional theory data (PBE-GGA) for a geometry-optimized Tb2Dy8Al structure.

Geometry as CIF:
```
data_Tb2Dy8Al
_chemical_formula_sum 'Tb4 Dy16 Al2'
_symmetry_space_group_name_H-M 'C 1 2/m 1'
_symmetry_Int_Tables_number 12
_cell_length_a 19.1166
_cell_length_b 5.4654
_cell_length_c 6.4270
_cell_angle_alpha 90.00
_cell_angle_beta 93.80
_cell_angle_gamma 90.00
loop_
_symmetry_equiv_pos_as_xyz
'x,y,z'
'-x,-y,-z'
'-x,y,-z'
'x,-y,z'
'x+1/2,y+1/2,z'
'-x+1/2,-y+1/2,-z'
'-x+1/2,y+1/2,-z'
'x+1/2,-y+1/2,z'
loop_
_atom_site_label
_atom_site_fract_x
_atom_site_fract_y
_atom_site_fract_z
Tb1 0.2411 0.0000 0.3337
Dy1 0.0422 0.0000 0.2534
Dy2 0.0781 0.5000 0.6024
Dy3 0.1547 0.0000 0.8124
Dy4 0.1575 0.5000 0.1213
Al1 0.0000 0.5000 0.0000
```

Properties
The calculation puts the density of states at the Fermi level at 1.28 states/eV per atom. The formation energy is -0.421 eV/f.u. The calculation puts the calculated volume at 30.46 Å³ per atom.

***

Density functional theory data (PBE-GGA) for a geometry-optimized Tb5Dy2Al4 structure.

Geometry as CIF:
```
data_Tb5Dy2Al4
_chemical_formula_sum 'Tb10 Dy4 Al8'
_symmetry_space_group_name_H-M 'I m m m'
_symmetry_Int_Tables_number 71
_symmetry_space_group_name_Hall '-I 2 2'
_cell_length_a 3.3365
_cell_length_b 9.9374
_cell_length_c 18.3140
_cell_angle_alpha 90.00
_cell_angle_beta 90.00
_cell_angle_gamma 90.00
loop_
_atom_site_label
_atom_site_fract_x
_atom_site_fract_y
_atom_site_fract_z
Tb1 0.0000 0.0000 0.0000
Tb2 0.0000 0.1649 0.3201
Dy1 0.0000 0.5000 0.3297
Al1 0.0000 0.2075 0.5000
Al2 0.0000 0.5000 0.0694
```

Properties
The calculation puts the density of states at the Fermi level at 1.12 states/eV per atom. The formation energy is 0.720 eV/f.u. The calculation puts the calculated volume at 27.60 Å³ per atom.